[1]
The following is a GGA-PBE calculation of a geometry-optimized Li2PrNiP2 structure, from OQMD.

Values from the calculation:
Calculated total energy (eV per cell): -29.23

Unit cell a=4.0337 b=4.0337 c=6.5667 alpha=90.00 beta=90.00 gamma=120.00
Space group P-3m1 (No. 164)
One atom of each set of equivalent atoms:
Li 0.3333 0.6667 0.3577 (multiplicity 2)
Pr 0.0000 0.0000 0.0000 (multiplicity 1)
Ni 0.0000 0.0000 0.5000 (multiplicity 1)
P 0.3333 0.6667 0.7220 (multiplicity 2)

=====

[2]
The following is a GGA-PBE calculation of a geometry-optimized GdThSn structure, from OQMD.

Values from the calculation:
Energy above the lowest structure with this stoichiometry (meV per atom): 0.0

Unit cell a=7.376 b=7.376 c=7.376 alpha=90.00 beta=90.00 gamma=90.00
Space group F-43m (No. 216)
One atom of each set of equivalent atoms:
Gd 0.000 0.000 0.000 (multiplicity 4)
Th 0.000 0.000 0.500 (multiplicity 4)
Sn 0.250 0.250 0.250 (multiplicity 4)

=====

[3]
The following is a GGA-PBE calculation of a geometry-optimized NbFeCuBi structure, from OQMD.

Values from the calculation:
Energy above the lowest structure with this stoichiometry (meV per atom): 0.0

Unit cell a=6.404 b=6.404 c=6.404 alpha=90.00 beta=90.00 gamma=90.00
Space group F-43m (No. 216)
One atom of each set of equivalent atoms:
Nb 0.000 0.000 0.000 (multiplicity 4)
Fe 0.250 0.250 0.250 (multiplicity 4)
Cu 0.250 0.250 0.750 (multiplicity 4)
Bi 0.000 0.000 0.500 (multiplicity 4)

=====

[4]
The following is a GGA-PBE calculation of a geometry-optimized TmB4Sb structure, from OQMD.

Values from the calculation:
Energy above the lowest structure with this stoichiometry (meV per atom): 0.0

Unit cell a=3.178 b=5.179 c=8.598 alpha=90.00 beta=90.00 gamma=90.00
Space group Immm (No. 71)
One atom of each set of equivalent atoms:
Tm 0.000 0.000 0.000 (multiplicity 2)
B 0.000 0.321 0.268 (multiplicity 8)
Sb 0.000 0.000 0.500 (multiplicity 2)

=====

[5]
The following is a GGA-PBE calculation of a geometry-optimized TcHg2Os structure, from OQMD.

Values from the calculation:
Energy of formation (eV per atom): 0.955

Unit cell a=6.525 b=6.525 c=6.525 alpha=90.00 beta=90.00 gamma=90.00
Space group F-43m (No. 216)
One atom of each set of equivalent atoms:
Tc 0.000 0.000 0.000 (multiplicity 4)
Hg 0.000 0.000 0.500 (multiplicity 4)
Hg 0.250 0.250 0.750 (multiplicity 4)
Os 0.250 0.250 0.250 (multiplicity 4)

=====

[6]
The following is a GGA-PBE calculation of a geometry-optimized SmDyAg4 structure, from OQMD.

Values from the calculation:
Energy of formation (eV per atom): -0.306

Unit cell a=3.738 b=3.738 c=9.317 alpha=90.00 beta=90.00 gamma=90.00
Space group P4/mmm (No. 123)
One atom of each set of equivalent atoms:
Sm 0.000 0.000 0.000 (multiplicity 1)
Dy 0.500 0.500 0.500 (multiplicity 1)
Ag 0.000 0.000 0.333 (multiplicity 2)
Ag 0.500 0.500 0.176 (multiplicity 2)